No. 1
First-principles (GGA-PBE) data for crystalline CsTeWAuS2 at its relaxed geometry, as listed in OQMD via LeMat-Bulk.

```
CsTeWAuS2
1.0
1.9135 -8.5345 0.0000
1.9135 8.5345 0.0000
0.0000 0.0000 10.4272
Cs Te W Au S
2 2 2 2 4
direct
0.2329 0.7671 0.7500 Cs
0.7671 0.2329 0.2500 Cs
0.0736 0.9264 0.2500 Te
0.9264 0.0736 0.7500 Te
0.0000 0.0000 0.0000 W
0.0000 0.0000 0.5000 W
0.4444 0.5556 0.2500 Au
0.5556 0.4444 0.7500 Au
0.4062 0.5938 0.0304 S
0.4062 0.5938 0.4696 S
0.5938 0.4062 0.5304 S
0.5938 0.4062 0.9696 S
```

## Properties
total DFT energy (no corrections) = -59.8 eV for the cell shown

***

No. 2
First-principles (GGA-PBE) data for crystalline Lu2Tl at its relaxed geometry, as listed in OQMD via LeMat-Bulk.

```
Lu2Tl
1.0
5.2745 0.0000 0.0000
-2.6373 4.5679 0.0000
0.0000 0.0000 6.5383
Lu Tl
4 2
direct
0.0000 0.0000 0.0000 Lu
0.0000 0.0000 0.5000 Lu
0.3333 0.6667 0.2500 Lu
0.6667 0.3333 0.7500 Lu
0.3333 0.6667 0.7500 Tl
0.6667 0.3333 0.2500 Tl
```

## Properties
total DFT energy (no corrections) = -24.1 eV for the cell shown

***

No. 3
First-principles (GGA-PBE) data for crystalline Nd2YCd3Ir2Pt at its relaxed geometry, as listed in OQMD via LeMat-Bulk.

```
Nd2YCd3Ir2Pt
1.0
4.0270 0.0000 0.0000
0.0000 6.5577 3.7886
0.0000 -6.5577 3.7886
Nd Y Cd Ir Pt
2 1 3 2 1
direct
0.0000 0.2047 0.7953 Nd
0.0000 0.7953 0.2047 Nd
0.0000 0.6117 0.6117 Y
0.5000 0.2063 0.4604 Cd
0.5000 0.4604 0.2063 Cd
0.5000 0.9483 0.9483 Cd
0.5000 0.5398 0.8675 Ir
0.5000 0.8675 0.5398 Ir
0.0000 0.2084 0.2084 Pt
```

## Properties
energy of formation from the pure elements = -0.63 eV/atom

***

No. 4
First-principles (GGA-PBE) data for crystalline LaMgFeAs at its relaxed geometry, as listed in OQMD via LeMat-Bulk.

```
LaMgFeAs
1.0
0.0000 3.4855 3.4855
3.4855 0.0000 3.4855
3.4855 3.4855 0.0000
La Mg Fe As
1 1 1 1
direct
0.0000 0.0000 0.0000 La
0.7500 0.7500 0.7500 Mg
0.5000 0.5000 0.5000 Fe
0.2500 0.2500 0.2500 As
```

## Properties
offset from the most stable computed form = 117 meV per atom

***

No. 5
First-principles (GGA-PBE) data for crystalline CoCuNiS3 at its relaxed geometry, as listed in OQMD via LeMat-Bulk.

```
CoCuNiS3
1.0
6.5669 0.0000 0.0000
0.0000 3.3637 0.0000
-1.6581 0.0000 9.0027
Co Cu Ni S
2 2 2 6
direct
0.2184 0.2500 0.2027 Co
0.7816 0.7500 0.7973 Co
0.3911 0.7500 0.4199 Cu
0.6089 0.2500 0.5801 Cu
0.0719 0.2500 0.9201 Ni
0.9281 0.7500 0.0799 Ni
0.0571 0.7500 0.3140 S
0.2661 0.7500 0.0348 S
0.4489 0.7500 0.6835 S
0.5511 0.2500 0.3165 S
0.7339 0.2500 0.9652 S
0.9429 0.2500 0.6860 S
```

## Properties
total DFT energy (no corrections) = -59.7 eV for the cell shown

***

No. 6
First-principles (GGA-PBE) data for crystalline Cu2H10C6S3N4 at its relaxed geometry, as listed in OQMD via LeMat-Bulk.

```
Cu2H10C6S3N4
1.0
5.7626 0.0000 0.0000
0.0000 29.9729 0.0000
-2.8984 0.0000 6.8607
Cu H C S N
8 40 24 12 16
direct
0.0754 0.0396 0.4202 Cu
0.0754 0.4604 0.9202 Cu
0.3239 0.7134 0.0143 Cu
0.3239 0.7866 0.5143 Cu
0.6761 0.2134 0.4857 Cu
0.6761 0.2866 0.9857 Cu
0.9246 0.5396 0.0798 Cu
0.9246 0.9604 0.5798 Cu
0.0354 0.1857 0.1239 H
0.0354 0.3143 0.6239 H
0.0385 0.5519 0.5625 H
0.0385 0.9481 0.0625 H
0.0812 0.1369 0.7809 H
0.0812 0.3631 0.2809 H
0.1474 0.1090 0.1791 H
0.1474 0.3910 0.6791 H
0.2103 0.6521 0.3559 H
0.2103 0.8479 0.8559 H
0.2291 0.6702 0.5925 H
0.2291 0.8298 0.0925 H
0.2517 0.5736 0.4634 H
0.2517 0.9264 0.9634 H
0.2744 0.5920 0.7002 H
0.2744 0.9080 0.2002 H
0.3037 0.0970 0.9317 H
0.3037 0.4030 0.4317 H
0.3255 0.1550 0.0040 H
0.3255 0.3450 0.5040 H
0.6745 0.6550 0.4960 H
0.6745 0.8450 0.9960 H
0.6963 0.5970 0.5683 H
0.6963 0.9030 0.0683 H
0.7256 0.0920 0.7998 H
0.7256 0.4080 0.2998 H
0.7483 0.0736 0.0366 H
0.7483 0.4264 0.5366 H
0.7709 0.1702 0.9075 H
0.7709 0.3298 0.4075 H
0.7897 0.1521 0.1441 H
0.7897 0.3479 0.6441 H
0.8526 0.6090 0.3209 H
0.8526 0.8910 0.8209 H
0.9188 0.6369 0.7191 H
0.9188 0.8631 0.2191 H
0.9615 0.0519 0.9375 H
0.9615 0.4481 0.4375 H
0.9646 0.6857 0.3761 H
0.9646 0.8143 0.8761 H
0.1038 0.6597 0.4458 C
0.1038 0.8403 0.9458 C
0.1469 0.5813 0.5545 C
0.1469 0.9187 0.0545 C
0.1987 0.1275 0.9310 C
0.1987 0.3725 0.4310 C
0.2329 0.2362 0.6069 C
0.2329 0.2638 0.1069 C
0.2802 0.6130 0.0605 C
0.2802 0.8870 0.5605 C
0.4816 0.0108 0.2794 C
0.4816 0.4892 0.7794 C
0.5184 0.5108 0.2206 C
0.5184 0.9892 0.7206 C
0.7198 0.1130 0.4395 C
0.7198 0.3870 0.9395 C
0.7671 0.7362 0.8931 C
0.7671 0.7638 0.3931 C
0.8013 0.6275 0.5690 C
0.8013 0.8725 0.0690 C
0.8531 0.0813 0.9455 C
0.8531 0.4187 0.4455 C
0.8962 0.1597 0.0542 C
0.8962 0.3403 0.5542 C
0.2756 0.0134 0.7432 S
0.2756 0.4866 0.2432 S
0.4861 0.7423 0.3401 S
0.4861 0.7577 0.8401 S
0.4997 0.1438 0.4656 S
0.4997 0.3562 0.9656 S
0.5003 0.6438 0.0344 S
0.5003 0.8562 0.5344 S
0.5139 0.2423 0.1599 S
0.5139 0.2577 0.6599 S
0.7244 0.5134 0.7568 S
0.7244 0.9866 0.2568 S
0.0291 0.2214 0.5681 N
0.0291 0.2786 0.0681 N
0.0318 0.1185 0.0376 N
0.0318 0.3815 0.5376 N
0.1194 0.5905 0.0756 N
0.1194 0.9095 0.5756 N
0.3074 0.0280 0.2981 N
0.3074 0.4720 0.7981 N
0.6926 0.5280 0.2019 N
0.6926 0.9720 0.7019 N
0.8806 0.0905 0.4244 N
0.8806 0.4095 0.9244 N
0.9682 0.6185 0.4624 N
0.9682 0.8815 0.9624 N
0.9709 0.7214 0.9319 N
0.9709 0.7786 0.4319 N
```

## Properties
offset from the most stable computed form = 0 meV per atom

***

No. 7
First-principles (GGA-PBE) data for crystalline NiSbPtAu at its relaxed geometry, as listed in OQMD via LeMat-Bulk.

```
NiSbPtAu
1.0
0.0000 3.2296 3.2296
3.2296 0.0000 3.2296
3.2296 3.2296 0.0000
Ni Sb Pt Au
1 1 1 1
direct
0.0000 0.0000 0.0000 Ni
0.7500 0.7500 0.7500 Sb
0.5000 0.5000 0.5000 Pt
0.2500 0.2500 0.2500 Au
```

## Properties
total DFT energy (no corrections) = -19.2 eV for the cell shown

***

No. 8
First-principles (GGA-PBE) data for crystalline BaScAgO3 at its relaxed geometry, as listed in OQMD via LeMat-Bulk.

```
BaScAgO3
1.0
1.7144 -6.5946 0.0000
1.7144 6.5946 0.0000
0.0000 0.0000 8.6790
Ba Sc Ag O
2 2 2 6
direct
0.1841 0.8159 0.7500 Ba
0.8159 0.1841 0.2500 Ba
0.5000 0.5000 0.0000 Sc
0.5000 0.5000 0.5000 Sc
0.1062 0.8938 0.2500 Ag
0.8938 0.1062 0.7500 Ag
0.1036 0.8964 0.0121 O
0.1036 0.8964 0.4879 O
0.4599 0.5401 0.2500 O
0.5401 0.4599 0.7500 O
0.8964 0.1036 0.5121 O
0.8964 0.1036 0.9879 O
```

## Properties
total DFT energy (no corrections) = -77.8 eV for the cell shown

***

No. 9
First-principles (GGA-PBE) data for crystalline KTcAuS3 at its relaxed geometry, as listed in OQMD via LeMat-Bulk.

```
KTcAuS3
1.0
1.8136 -8.0262 0.0000
1.8136 8.0262 0.0000
0.0000 0.0000 9.6919
K Tc Au S
2 2 2 6
direct
0.2107 0.7893 0.7500 K
0.7893 0.2107 0.2500 K
0.5000 0.5000 0.0000 Tc
0.5000 0.5000 0.5000 Tc
0.1174 0.8826 0.2500 Au
0.8826 0.1174 0.7500 Au
0.1051 0.8949 0.0138 S
0.1051 0.8949 0.4862 S
0.4602 0.5398 0.2500 S
0.5398 0.4602 0.7500 S
0.8949 0.1051 0.5138 S
0.8949 0.1051 0.9862 S
```

## Properties
total DFT energy (no corrections) = -58.2 eV for the cell shown

***

No. 10
First-principles (GGA-PBE) data for crystalline GaNiIr2 at its relaxed geometry, as listed in OQMD via LeMat-Bulk.

```
GaNiIr2
1.0
0.0000 3.0310 3.0310
3.0310 0.0000 3.0310
3.0310 3.0310 0.0000
Ga Ni Ir
1 1 2
direct
0.0000 0.0000 0.0000 Ga
0.2500 0.2500 0.2500 Ni
0.5000 0.5000 0.5000 Ir
0.7500 0.7500 0.7500 Ir
```

## Properties
total DFT energy (no corrections) = -26.2 eV for the cell shown

***

No. 11
First-principles (GGA-PBE) data for crystalline NaCuIr at its relaxed geometry, as listed in OQMD via LeMat-Bulk.

```
NaCuIr
1.0
0.0000 2.9939 2.9939
2.9939 0.0000 2.9939
2.9939 2.9939 0.0000
Na Cu Ir
1 1 1
direct
0.0000 0.0000 0.0000 Na
0.7500 0.7500 0.7500 Cu
0.2500 0.2500 0.2500 Ir
```

## Properties
offset from the most stable computed form = 584 meV per atom

***

No. 12
First-principles (GGA-PBE) data for crystalline Er3NiSn3Ir2 at its relaxed geometry, as listed in OQMD via LeMat-Bulk.

```
Er3NiSn3Ir2
1.0
7.5365 0.0000 0.0000
-3.7683 6.5268 0.0000
0.0000 0.0000 3.7353
Er Ni Sn Ir
3 1 3 2
direct
0.0000 0.4064 0.0000 Er
0.4064 0.0000 0.0000 Er
0.5936 0.5936 0.0000 Er
0.0000 0.0000 0.0000 Ni
0.0000 0.7436 0.5000 Sn
0.2564 0.2564 0.5000 Sn
0.7436 0.0000 0.5000 Sn
0.3333 0.6667 0.5000 Ir
0.6667 0.3333 0.5000 Ir
```

## Properties
total DFT energy (no corrections) = -56.2 eV for the cell shown

***

What did the third record say?
First-principles (GGA-PBE) data for crystalline Nd2YCd3Ir2Pt at its relaxed geometry, as listed in OQMD via LeMat-Bulk.

```
Nd2YCd3Ir2Pt
1.0
4.0270 0.0000 0.0000
0.0000 6.5577 3.7886
0.0000 -6.5577 3.7886
Nd Y Cd Ir Pt
2 1 3 2 1
direct
0.0000 0.2047 0.7953 Nd
0.0000 0.7953 0.2047 Nd
0.0000 0.6117 0.6117 Y
0.5000 0.2063 0.4604 Cd
0.5000 0.4604 0.2063 Cd
0.5000 0.9483 0.9483 Cd
0.5000 0.5398 0.8675 Ir
0.5000 0.8675 0.5398 Ir
0.0000 0.2084 0.2084 Pt
```

## Properties
energy of formation from the pure elements = -0.63 eV/atom